Entry 1
Here is a PBEsol-optimized structure of KZnOs from Alexandria. Energies are from SCAN.

The structure belongs to space group P-6m2 (No. 187); the cell edges are 4.9442, 4.9442 and 2.5932 Å and the angles 90.00°, 90.00° and 120.00°. The distinct sites, in fractional coordinates, are K at (0.0000, 0.0000, 0.0000), Zn at (0.6667, 0.3333, 0.5000) and Os at (0.3333, 0.6667, 0.5000).

---

Entry 2
Here is a PBEsol-optimized structure of KZnOs from Alexandria. Energies are from SCAN.

The structure belongs to space group F-43m (No. 216); the cell edges are 6.428, 6.428 and 6.428 Å and the angles 90.00°, 90.00° and 90.00°. The distinct sites, in fractional coordinates, are K at (0.000, 0.000, 0.000), Zn at (0.250, 0.250, 0.250) and Os at (0.000, 0.000, 0.500).

---

Least stable: entry 2

---

Entry 1
Here is a PBEsol-optimized structure of KZrOs2 from Alexandria. Energies are from SCAN.

The structure belongs to space group P2/m (No. 10); the cell edges are 2.783, 4.447 and 7.115 Å and the angles 90.00°, 96.21° and 90.00°. The distinct sites, in fractional coordinates, are K at (0.000, 0.000, 0.000), Zr at (0.500, 0.000, 0.500) and Os at (0.255, 0.500, 0.660).

---

Entry 2
Here is a PBEsol-optimized structure of KZrOs2 from Alexandria. Energies are from SCAN.

The structure belongs to space group C2/m (No. 12); the cell edges are 6.094, 9.297 and 2.564 Å and the angles 90.00°, 90.73° and 90.00°. The distinct sites, in fractional coordinates, are K at (0.000, 0.000, 0.000), Zr at (0.000, 0.500, 0.000) and Os at (0.250, 0.250, 0.500).

---

Entry 3
Here is a PBEsol-optimized structure of KZrOs2 from Alexandria. Energies are from SCAN.

The structure belongs to space group Pmm2 (No. 25); the cell edges are 2.813, 3.832 and 8.699 Å and the angles 90.00°, 90.00° and 90.00°. The distinct sites, in fractional coordinates, are K at (0.000, 0.000, 0.000), Zr at (0.500, 0.500, 0.605), Os at (0.000, 0.000, 0.410) and Os at (0.500, 0.500, 0.303).

---

Least stable: entry 2

---

Entry 1
Here is a PBEsol-optimized structure of K2P from Alexandria. Energies are from SCAN.

The structure belongs to space group C2/m (No. 12); the cell edges are 10.333, 5.421 and 6.675 Å and the angles 90.00°, 108.35° and 90.00°. The distinct sites, in fractional coordinates, are K at (0.088, 0.000, 0.350), K at (0.191, 0.500, 0.157) and P at (0.090, 0.500, 0.653).

---

Entry 2
Here is a PBEsol-optimized structure of K2P from Alexandria. Energies are from SCAN.

The structure belongs to space group Fmmm (No. 69); the cell edges are 5.894, 5.901 and 10.295 Å and the angles 90.00°, 90.00° and 90.00°. The distinct sites, in fractional coordinates, are K at (0.000, 0.000, 0.151) and P at (0.000, 0.000, 0.500).

---

Least stable: entry 2